! AcCrAs2O8 PBE+U optimized geometry; values from VASP
&SYSTEM
  ibrav = 0, nat = 12, ntyp = 4
/
ATOMIC_SPECIES
Ac 227.00 Ac.upf
Cr 52.00 Cr.upf
As 74.92 As.upf
O 16.00 O.upf
CELL_PARAMETERS angstrom
-3.642 3.642 3.235
3.642 -3.642 3.235
3.642 3.642 -3.235
ATOMIC_POSITIONS crystal
Ac 0.000 0.000 0.000
Cr 0.250 0.750 0.500
As 0.500 0.500 0.000
As 0.750 0.250 0.500
O 0.336 0.146 0.811
O 0.336 0.525 0.189
O 0.396 0.066 0.330
O 0.475 0.664 0.811
O 0.736 0.066 0.670
O 0.854 0.664 0.189
O 0.934 0.264 0.330
O 0.934 0.604 0.670
! DOS(E_F) = 0.217 states/eV per atom
! calculated total energy = -6.698 eV per atom